Run a
Entry from the Alexandria database: a geometry-optimized Ho2Ga5Au3 structure (PBE-GGA).

```
Ho2Ga5Au3
1.0
-5.5361 5.9272 3.0113
5.5361 -5.9272 3.0113
5.5361 5.9272 -3.0113
Ho Ga Au
4 10 6
Direct
0.1237 0.2473 0.3709
0.3763 0.7473 0.1236
0.6237 0.2527 0.8764
0.8763 0.7527 0.6291
0.0062 0.7500 0.2562
0.1218 0.6415 0.7633
0.2500 0.2500 0.0000
0.3782 0.1415 0.5196
0.4938 0.7500 0.7438
0.5062 0.2500 0.2562
0.6218 0.8585 0.4804
0.7500 0.7500 0.0000
0.8782 0.3585 0.2367
0.9938 0.2500 0.7438
0.1296 0.8643 0.9939
0.2500 0.7500 0.5000
0.3704 0.3643 0.7347
0.6296 0.6357 0.2653
0.7500 0.2500 0.5000
0.8704 0.1357 0.0061
```

Values from the calculation:
**Volume**: 395.2 Å³/cell

---

Run b
Entry from the Alexandria database: a geometry-optimized Ho2Ga5Au3 structure (PBE-GGA).

```
Ho2Ga5Au3
1.0
2.2005 -12.5116 0.0000
2.2005 12.5116 0.0000
0.0000 0.0000 7.0370
Ho Ga Au
4 10 6
Direct
0.0172 0.9828 0.5000
0.3258 0.6742 0.5128
0.6742 0.3258 0.0128
0.9828 0.0172 0.0000
0.1043 0.8957 0.8408
0.2059 0.7941 0.7254
0.2073 0.7927 0.3155
0.3823 0.6177 0.9858
0.4501 0.5499 0.6751
0.5499 0.4501 0.1751
0.6177 0.3823 0.4858
0.7927 0.2073 0.8155
0.7941 0.2059 0.2254
0.8957 0.1043 0.3408
0.1069 0.8931 0.2289
0.2767 0.7233 0.0216
0.4484 0.5516 0.2861
0.5516 0.4484 0.7861
0.7233 0.2767 0.5216
0.8931 0.1069 0.7289
```

Values from the calculation:
**Volume**: 387.5 Å³/cell

---

Which is the most stable structure? run b is the most stable.

---

Run a
Entry from the Alexandria database: a geometry-optimized LiHoGaAu structure (PBE-GGA).

```
LiHoGaAu
1.0
0.0000 3.3255 3.3255
3.3255 0.0000 3.3255
3.3255 3.3255 0.0000
Li Ho Ga Au
1 1 1 1
Direct
0.0000 0.0000 0.0000
0.7500 0.7500 0.7500
0.2500 0.2500 0.2500
0.5000 0.5000 0.5000
```

Values from the calculation:
**Volume**: 73.6 Å³/cell

---

Run b
Entry from the Alexandria database: a geometry-optimized LiHoGaAu structure (PBE-GGA).

```
LiHoGaAu
1.0
0.0000 3.4005 3.4005
3.4005 0.0000 3.4005
3.4005 3.4005 0.0000
Li Ho Ga Au
1 1 1 1
Direct
0.0000 0.0000 0.0000
0.5000 0.5000 0.5000
0.2500 0.2500 0.2500
0.7500 0.7500 0.7500
```

Values from the calculation:
**Volume**: 78.6 Å³/cell

---

Which is the most stable structure? run a is the most stable.

---

Run a
Entry from the Alexandria database: a geometry-optimized TbHoGaAu structure (PBE-GGA).

```
TbHoGaAu
1.0
0.0000 3.6068 3.6068
3.6068 0.0000 3.6068
3.6068 3.6068 0.0000
Tb Ho Ga Au
1 1 1 1
Direct
0.0000 0.0000 0.0000
0.5000 0.5000 0.5000
0.2500 0.2500 0.2500
0.7500 0.7500 0.7500
```

Values from the calculation:
**Volume**: 93.8 Å³/cell

---

Run b
Entry from the Alexandria database: a geometry-optimized TbHoGaAu structure (PBE-GGA).

```
TbHoGaAu
1.0
4.5321 0.0000 0.0000
0.0000 1.8953 5.5761
0.0000 -1.8953 5.5761
Tb Ho Ga Au
1 1 1 1
Direct
0.0000 0.0000 0.0000
0.5000 0.2878 0.2878
0.0000 0.7275 0.7275
0.5000 0.5659 0.5659
```

Values from the calculation:
**Volume**: 95.8 Å³/cell

---

Which is the most stable structure? run b is the most stable.

---

Run a
Entry from the Alexandria database: a geometry-optimized HoThGaAu structure (PBE-GGA).

```
HoThGaAu
1.0
0.0000 3.6662 3.6662
3.6662 0.0000 3.6662
3.6662 3.6662 0.0000
Ho Th Ga Au
1 1 1 1
Direct
0.0000 0.0000 0.0000
0.5000 0.5000 0.5000
0.2500 0.2500 0.2500
0.7500 0.7500 0.7500
```

Values from the calculation:
**Volume**: 98.6 Å³/cell

---

Run b
Entry from the Alexandria database: a geometry-optimized HoThGaAu structure (PBE-GGA).

```
HoThGaAu
1.0
4.4537 0.0000 0.0000
0.0000 2.0198 5.5863
0.0000 -2.0198 5.5863
Ho Th Ga Au
1 1 1 1
Direct
0.0000 0.0000 0.0000
0.5000 0.7187 0.7187
0.0000 0.2841 0.2841
0.5000 0.4441 0.4441
```

Values from the calculation:
**Volume**: 100.5 Å³/cell

---

Which is the most stable structure? run b is the most stable.

---

Run a
Entry from the Alexandria database: a geometry-optimized GaAuI3 structure (PBE-GGA).

```
GaAuI3
1.0
5.7086 0.0000 0.0000
0.0000 5.7086 0.0000
0.0000 0.0000 5.7086
Ga Au I
1 1 3
Direct
0.0000 0.0000 0.0000
0.5000 0.5000 0.5000
0.0000 0.5000 0.5000
0.5000 0.0000 0.5000
0.5000 0.5000 0.0000
```

Values from the calculation:
**Volume**: 186.0 Å³/cell

---

Run b
Entry from the Alexandria database: a geometry-optimized GaAuI3 structure (PBE-GGA).

```
GaAuI3
1.0
5.9339 -4.4502 0.0000
5.9339 4.4502 0.0000
-4.3497 0.0000 9.7314
Ga Au I
2 2 6
Direct
0.0268 0.0268 0.3058
0.9732 0.9732 0.6942
0.1241 0.1241 0.5708
0.8759 0.8759 0.4292
0.1773 0.6954 0.1775
0.2784 0.2784 0.4371
0.3046 0.8227 0.8225
0.6954 0.1773 0.1775
0.7216 0.7216 0.5629
0.8227 0.3046 0.8225
```

Values from the calculation:
**Volume**: 514.0 Å³/cell

---

Which is the most stable structure? run b is the most stable.

---

Run a
Entry from the Alexandria database: a geometry-optimized GaAu2I8 structure (PBE-GGA).

```
GaAu2I8
1.0
6.2775 -5.8390 0.0000
6.2775 5.8390 0.0000
-2.2222 0.0000 7.0202
Ga Au I
1 2 8
Direct
0.0000 0.0000 0.0000
0.1656 0.1656 0.6201
0.8344 0.8344 0.3799
0.0809 0.7513 0.1853
0.2236 0.2236 0.3065
0.2487 0.9191 0.8147
0.4093 0.4093 0.8326
0.5907 0.5907 0.1674
0.7513 0.0809 0.1853
0.7764 0.7764 0.6935
0.9191 0.2487 0.8147
```

Values from the calculation:
**Volume**: 514.6 Å³/cell

---

Run b
Entry from the Alexandria database: a geometry-optimized GaAu2I8 structure (PBE-GGA).

```
GaAu2I8
1.0
7.2036 0.0000 0.0000
-0.5951 8.3297 0.0000
-2.6981 -1.9743 8.6478
Ga Au I
1 2 8
Direct
0.0000 0.0000 0.0000
0.4123 0.7445 0.9169
0.5877 0.2555 0.0831
0.0497 0.7783 0.7497
0.2139 0.2683 0.9248
0.3306 0.9088 0.1847
0.4553 0.5512 0.6528
0.5447 0.4488 0.3472
0.6694 0.0912 0.8153
0.7861 0.7317 0.0752
0.9503 0.2217 0.2503
```

Values from the calculation:
**Volume**: 518.9 Å³/cell

---

Which is the most stable structure? run b is the most stable.

---

Run a
Entry from the Alexandria database: a geometry-optimized Ga2AuI structure (PBE-GGA).

```
Ga2AuI
1.0
-3.2520 3.2520 6.4360
3.2520 -3.2520 6.4360
3.2520 3.2520 -6.4360
Ga Au I
4 2 2
Direct
0.0470 0.6250 0.9220
0.3750 0.2970 0.4220
0.7030 0.1250 0.0780
0.8750 0.9530 0.5780
0.0000 0.0000 0.0000
0.7500 0.2500 0.5000
0.2500 0.7500 0.5000
0.5000 0.5000 0.0000
```

Values from the calculation:
**Volume**: 272.3 Å³/cell

---

Run b
Entry from the Alexandria database: a geometry-optimized Ga2AuI structure (PBE-GGA).

```
Ga2AuI
1.0
2.0235 1.1683 7.1157
-2.0235 1.1683 7.1157
0.0000 -2.3365 7.1157
Ga Au I
2 1 1
Direct
0.2302 0.2302 0.2302
0.7698 0.7698 0.7698
0.5000 0.5000 0.5000
0.0000 0.0000 0.0000
```

Values from the calculation:
**Volume**: 100.9 Å³/cell

---

Run c
Entry from the Alexandria database: a geometry-optimized Ga2AuI structure (PBE-GGA).

```
Ga2AuI
1.0
2.0463 1.1815 7.2384
-2.0463 1.1815 7.2384
0.0000 -2.3629 7.2384
Ga Au I
2 1 1
Direct
0.0000 0.0000 0.0000
0.2108 0.2108 0.2108
0.6045 0.6045 0.6045
0.4306 0.4306 0.4306
```

Values from the calculation:
**Volume**: 105.0 Å³/cell

---

Run d
Entry from the Alexandria database: a geometry-optimized Ga2AuI structure (PBE-GGA).

```
Ga2AuI
1.0
0.0000 3.7366 3.7366
3.7366 0.0000 3.7366
3.7366 3.7366 0.0000
Ga Au I
2 1 1
Direct
0.2500 0.2500 0.2500
0.7500 0.7500 0.7500
0.0000 0.0000 0.0000
0.5000 0.5000 0.5000
```

Values from the calculation:
**Volume**: 104.3 Å³/cell

---

Which is the most stable structure? run b is the most stable.

---

Run a
Entry from the Alexandria database: a geometry-optimized GaIrAu2I structure (PBE-GGA).

```
GaIrAu2I
1.0
5.3667 0.0000 0.0000
0.0000 5.3667 0.0000
0.0000 0.0000 4.8953
Ga Ir Au I
1 1 2 1
Direct
0.0000 0.0000 0.0000
0.5000 0.5000 0.0000
0.0000 0.5000 0.5000
0.5000 0.0000 0.5000
0.5000 0.5000 0.5000
```

Values from the calculation:
**Volume**: 141.0 Å³/cell

---

Run b
Entry from the Alexandria database: a geometry-optimized GaIrAu2I structure (PBE-GGA).

```
GaIrAu2I
1.0
5.2545 0.0000 0.0000
0.0000 5.2545 0.0000
0.0000 0.0000 6.0667
Ga Ir Au I
1 1 2 1
Direct
0.0000 0.0000 0.0000
0.5000 0.5000 0.0000
0.0000 0.5000 0.5000
0.5000 0.0000 0.5000
0.0000 0.0000 0.5000
```

Values from the calculation:
**Volume**: 167.5 Å³/cell

---

Which is the most stable structure? run a is the most stable.

---

Run a
Entry from the Alexandria database: a geometry-optimized GaAuI2N structure (PBE-GGA).

```
GaAuI2N
1.0
6.0728 0.0000 0.0000
0.0000 6.0728 0.0000
0.0000 0.0000 3.4794
Ga Au I N
1 1 2 1
Direct
0.0000 0.0000 0.0000
0.5000 0.5000 0.5000
0.0000 0.5000 0.0000
0.5000 0.0000 0.0000
0.0000 0.0000 0.5000
```

Values from the calculation:
**Volume**: 128.3 Å³/cell

---

Run b
Entry from the Alexandria database: a geometry-optimized GaAuI2N structure (PBE-GGA).

```
GaAuI2N
1.0
6.1495 0.0000 0.0000
0.0000 6.1495 0.0000
0.0000 0.0000 3.8246
Ga Au I N
1 1 2 1
Direct
0.0000 0.0000 0.0000
0.5000 0.5000 0.5000
0.0000 0.5000 0.5000
0.5000 0.0000 0.5000
0.5000 0.5000 0.0000
```

Values from the calculation:
**Volume**: 144.6 Å³/cell

---

Which is the most stable structure? run b is the most stable.

---

Run a
Entry from the Alexandria database: a geometry-optimized GaPtAu2I structure (PBE-GGA).

```
GaPtAu2I
1.0
5.4184 0.0000 0.0000
0.0000 5.4184 0.0000
0.0000 0.0000 5.0571
Ga Pt Au I
1 1 2 1
Direct
0.0000 0.0000 0.0000
0.5000 0.5000 0.0000
0.0000 0.5000 0.5000
0.5000 0.0000 0.5000
0.5000 0.5000 0.5000
```

Values from the calculation:
**Volume**: 148.5 Å³/cell

---

Run b
Entry from the Alexandria database: a geometry-optimized GaPtAu2I structure (PBE-GGA).

```
GaPtAu2I
1.0
4.9602 0.0000 0.0000
0.0000 4.9602 0.0000
0.0000 0.0000 4.8372
Ga Pt Au I
1 1 2 1
Direct
0.0000 0.0000 0.0000
0.0000 0.0000 0.5000
0.0000 0.5000 0.0000
0.5000 0.0000 0.0000
0.5000 0.5000 0.5000
```

Values from the calculation:
**Volume**: 119.0 Å³/cell

---

Which is the most stable structure? run b is the most stable.

---

Run a
Entry from the Alexandria database: a geometry-optimized GaTe2AuI structure (PBE-GGA).

```
GaTe2AuI
1.0
5.4913 0.0000 0.0000
0.0000 5.4913 0.0000
0.0000 0.0000 5.7450
Ga Te Au I
1 2 1 1
Direct
0.0000 0.0000 0.0000
0.0000 0.5000 0.5000
0.5000 0.0000 0.5000
0.5000 0.5000 0.5000
0.5000 0.5000 0.0000
```

Values from the calculation:
**Volume**: 173.2 Å³/cell

---

Run b
Entry from the Alexandria database: a geometry-optimized GaTe2AuI structure (PBE-GGA).

```
GaTe2AuI
1.0
5.4215 0.0000 0.0000
0.0000 5.4215 0.0000
0.0000 0.0000 5.4676
Ga Te Au I
1 2 1 1
Direct
0.0000 0.0000 0.0000
0.0000 0.5000 0.0000
0.5000 0.0000 0.0000
0.5000 0.5000 0.5000
0.0000 0.0000 0.5000
```

Values from the calculation:
**Volume**: 160.7 Å³/cell

---

Which is the most stable structure? run a is the most stable.

---

Run a
Entry from the Alexandria database: a geometry-optimized GaTeAuI2 structure (PBE-GGA).

```
GaTeAuI2
1.0
5.6800 0.0000 0.0000
0.0000 5.6800 0.0000
0.0000 0.0000 5.5470
Ga Te Au I
1 1 1 2
Direct
0.0000 0.0000 0.0000
0.5000 0.5000 0.0000
0.5000 0.5000 0.5000
0.0000 0.5000 0.5000
0.5000 0.0000 0.5000
```

Values from the calculation:
**Volume**: 179.0 Å³/cell

---

Run b
Entry from the Alexandria database: a geometry-optimized GaTeAuI2 structure (PBE-GGA).

```
GaTeAuI2
1.0
5.5483 0.0000 0.0000
0.0000 5.5483 0.0000
0.0000 0.0000 5.4824
Ga Te Au I
1 1 1 2
Direct
0.0000 0.0000 0.0000
0.0000 0.0000 0.5000
0.5000 0.5000 0.5000
0.0000 0.5000 0.0000
0.5000 0.0000 0.0000
```

Values from the calculation:
**Volume**: 168.8 Å³/cell

---

Which is the most stable structure? run a is the most stable.